Below is a relaxed Ni5Ru crystal, with properties calculated at the GGA-PBEsol level.

abc: 2.5016 4.7703 5.9187
angles: 104.69 90.00 105.20
Closest atoms and distances in Å follow each position.
Fractional positions:
Ni (0.9994, 0.9989, 0.0023)  9 Ni 2.49-2.52, 3 Ru 2.49-2.50
Ni (0.3901, 0.7803, 0.2813)  10 Ni 2.45-2.50, 2 Ru 2.52
Ni (0.6674, 0.3348, 0.3370)  11 Ni 2.46-2.50, 1 Ru 2.51
Ni (0.0544, 0.1088, 0.6071)  10 Ni 2.46-2.52, 2 Ru 2.50
Ni (0.3340, 0.6681, 0.6628)  10 Ni 2.45-2.51, 2 Ru 2.51
Ru (0.7213, 0.4425, 0.9430)  10 Ni 2.49-2.52, 2 Ru 2.50

Summary:
- density of states at the Fermi level (states/eV/atom) = 1.934
- E_tot (eV/cell) = -40.43
- total moment (μB per formula unit) = 3.203
- formation energy (eV/f.u.) = 0.53
- space group = Cm